DFT (GGA+U) results for NiPtO2 after structural relaxation.

Cell lengths 2.9469, 2.9145, 6.3014 Å; angles 76.47, 76.48, 59.63 degrees
Last column: nearest neighbours and their distance in Å.
Element x y z (fractional)
Ni1 0.5000 0.5000 0.5000  6 O 2.00-2.01
O1 0.8935 0.8906 0.3225  1 Pt 1.96, 3 Ni 2.00-2.01
O2 0.1066 0.1094 0.6775  1 Pt 1.96, 3 Ni 2.00-2.01
Pt1 0.0000 0.0000 0.0000  2 O 1.96

## Properties
Calculated total energy, eV for the cell shown: -21.419
Density, g/cm3: 10.55
Magnetic moment, μB per cell: 1.1
Fermi-level density of states, states/eV/atom: 0.376